Model one:
A geometry-optimized Pu2SbBr structure, computed with PBE.

The magnetic moment is 35.329 μB/cell.

The structure belongs to space group R-3m (No. 166, hexagonal axes); the cell edges are 4.4769, 4.4769 and 19.9859 Å and the angles 90.00°, 90.00° and 120.00°. The inequivalent atoms are Pu at (0.0000, 0.0000, 0.2465), Sb at (0.0000, 0.0000, 0.0000) and Br at (0.0000, 0.0000, 0.5000).


Model two:
A geometry-optimized Pu2SbBr structure, computed with PBE.

The magnetic moment is 11.974 μB/cell.

The structure belongs to space group P4/mmm (No. 123); the cell edges are 3.775, 3.775 and 7.545 Å and the angles 90.00°, 90.00° and 90.00°. The inequivalent atoms are Pu at (0.000, 0.000, 0.230), Sb at (0.500, 0.500, 0.000) and Br at (0.500, 0.500, 0.500).


How far above the most stable structure does each one sit? In meV/atom: model one 0; model two 51.


Model one:
A geometry-optimized PuScBr6 structure, computed with PBE.

The magnetic moment is 10.000 μB/cell.

The structure belongs to space group C2/m (No. 12); the cell edges are 6.898, 13.008 and 6.870 Å and the angles 90.00°, 107.16° and 90.00°. The inequivalent atoms are Pu at (0.000, 0.000, 0.000), Sc at (0.000, 0.500, 0.500), Br at (0.231, 0.356, 0.734) and Br at (0.243, 0.500, 0.260).


Model two:
A geometry-optimized PuScBr6 structure, computed with PBE.

The magnetic moment is 15.000 μB/cell.

The structure belongs to space group R-3 (No. 148, hexagonal axes); the cell edges are 6.9499, 6.9499 and 19.2384 Å and the angles 90.00°, 90.00° and 120.00°. The inequivalent atoms are Pu at (0.0000, 0.0000, 0.0000), Sc at (0.0000, 0.0000, 0.5000) and Br at (0.0066, 0.6875, 0.5794).


How far above the most stable structure does each one sit? In meV/atom: model one 0; model two 27.


Model one:
A geometry-optimized Pu2SeBr structure, computed with PBE.

The magnetic moment is 12.903 μB/cell.

The structure belongs to space group P4/mmm (No. 123); the cell edges are 3.629, 3.629 and 7.382 Å and the angles 90.00°, 90.00° and 90.00°. The inequivalent atoms are Pu at (0.000, 0.000, 0.229), Se at (0.500, 0.500, 0.000) and Br at (0.500, 0.500, 0.500).


Model two:
A geometry-optimized Pu2SeBr structure, computed with PBE.

The magnetic moment is 0.411 μB/cell.

The structure belongs to space group R3m (No. 160, hexagonal axes); the cell edges are 3.8591, 3.8591 and 24.2522 Å and the angles 90.00°, 90.00° and 120.00°. The inequivalent atoms are Pu at (0.0000, 0.0000, 0.0000), Pu at (0.0000, 0.0000, 0.1828), Se at (0.0000, 0.0000, 0.5910) and Br at (0.0000, 0.0000, 0.7600).


Model three:
A geometry-optimized Pu2SeBr structure, computed with PBE.

The magnetic moment is 36.646 μB/cell.

The structure belongs to space group R-3m (No. 166, hexagonal axes); the cell edges are 4.2084, 4.2084 and 20.1803 Å and the angles 90.00°, 90.00° and 120.00°. The inequivalent atoms are Pu at (0.0000, 0.0000, 0.2462), Se at (0.0000, 0.0000, 0.5000) and Br at (0.0000, 0.0000, 0.0000).


Model four:
A geometry-optimized Pu2SeBr structure, computed with PBE.

The magnetic moment is 51.555 μB/cell.

The structure belongs to space group Fm-3m (No. 225); the cell edges are 7.271, 7.271 and 7.271 Å and the angles 90.00°, 90.00° and 90.00°. The inequivalent atoms are Pu at (0.250, 0.250, 0.250), Se at (0.000, 0.000, 0.000) and Br at (0.000, 0.000, 0.500).


How far above the most stable structure does each one sit? In meV/atom: model one 108; model two 23; model three 0; model four 118.


Model one:
A geometry-optimized PuSeBr structure, computed with PBE.

The magnetic moment is 20.000 μB/cell.

The structure belongs to space group F-43m (No. 216); the cell edges are 6.995, 6.995 and 6.995 Å and the angles 90.00°, 90.00° and 90.00°. The inequivalent atoms are Pu at (0.000, 0.000, 0.000), Se at (0.250, 0.250, 0.250) and Br at (0.250, 0.250, 0.750).


Model two:
A geometry-optimized PuSeBr structure, computed with PBE.

The magnetic moment is 10.000 μB/cell.

The structure belongs to space group Pmmn (No. 59, origin choice 2); the cell edges are 4.236, 5.648 and 8.810 Å and the angles 90.00°, 90.00° and 90.00°. The inequivalent atoms are Pu at (0.250, 0.250, 0.140), Se at (0.250, 0.750, 0.085) and Br at (0.250, 0.750, 0.639).


How far above the most stable structure does each one sit? In meV/atom: model one 142; model two 0.


Model one:
A geometry-optimized PuSeBr structure, computed with PBE.

The magnetic moment is 20.000 μB/cell.

The structure belongs to space group P2_1/c (No. 14); the cell edges are 7.203, 8.483 and 7.385 Å and the angles 90.00°, 111.58° and 90.00°. The inequivalent atoms are Pu at (0.002, 0.126, 0.240), Se at (0.217, 0.128, 0.989) and Br at (0.245, 0.621, 0.009).


Model two:
A geometry-optimized PuSeBr structure, computed with PBE.

The magnetic moment is 0.371 μB/cell.

The structure belongs to space group R3m (No. 160, hexagonal axes); the cell edges are 4.9832, 4.9832 and 25.5327 Å and the angles 90.00°, 90.00° and 120.00°. The inequivalent atoms are Pu at (0.0000, 0.0000, 0.0000), Pu at (0.0000, 0.0000, 0.2283), Se at (0.0000, 0.0000, 0.3461), Se at (0.0000, 0.0000, 0.6086), Br at (0.0000, 0.0000, 0.1120) and Br at (0.0000, 0.0000, 0.8643).


How far above the most stable structure does each one sit? In meV/atom: model one 0; model two 117.


Model one:
A geometry-optimized Sm2PuBr structure, computed with PBE.

The magnetic moment is 6.031 μB/cell.

The structure belongs to space group P4/mmm (No. 123); the cell edges are 3.494, 3.494 and 9.511 Å and the angles 90.00°, 90.00° and 90.00°. The inequivalent atoms are Sm at (0.000, 0.000, 0.242), Pu at (0.500, 0.500, 0.500) and Br at (0.500, 0.500, 0.000).


Model two:
A geometry-optimized Sm2PuBr structure, computed with PBE.

The magnetic moment is 18.448 μB/cell.

The structure belongs to space group R-3m (No. 166, hexagonal axes); the cell edges are 3.6553, 3.6553 and 30.7922 Å and the angles 90.00°, 90.00° and 120.00°. The inequivalent atoms are Sm at (0.0000, 0.0000, 0.2440), Pu at (0.0000, 0.0000, 0.0000) and Br at (0.0000, 0.0000, 0.5000).


How far above the most stable structure does each one sit? In meV/atom: model one 96; model two 0.


Model one:
A geometry-optimized SmPuBr6 structure, computed with PBE.

The magnetic moment is 15.000 μB/cell.

The structure belongs to space group R-3 (No. 148, hexagonal axes); the cell edges are 7.1541, 7.1541 and 20.0217 Å and the angles 90.00°, 90.00° and 120.00°. The inequivalent atoms are Sm at (0.0000, 0.0000, 0.0000), Pu at (0.0000, 0.0000, 0.5000) and Br at (0.0016, 0.6582, 0.2511).


Model two:
A geometry-optimized SmPuBr6 structure, computed with PBE.

The magnetic moment is 10.000 μB/cell.

The structure belongs to space group C2/m (No. 12); the cell edges are 7.173, 13.139 and 7.153 Å and the angles 90.00°, 106.61° and 90.00°. The inequivalent atoms are Sm at (0.000, 0.000, 0.000), Pu at (0.000, 0.500, 0.500), Br at (0.248, 0.147, 0.250) and Br at (0.249, 0.500, 0.248).


How far above the most stable structure does each one sit? In meV/atom: model one 16; model two 0.


Model one:
A geometry-optimized Pu2SnBr structure, computed with PBE.

The magnetic moment is 12.284 μB/cell.

The structure belongs to space group P4/mmm (No. 123); the cell edges are 3.477, 3.477 and 8.559 Å and the angles 90.00°, 90.00° and 90.00°. The inequivalent atoms are Pu at (0.000, 0.000, 0.250), Sn at (0.500, 0.500, 0.000) and Br at (0.500, 0.500, 0.500).


Model two:
A geometry-optimized Pu2SnBr structure, computed with PBE.

The magnetic moment is 32.940 μB/cell.

The structure belongs to space group R-3m (No. 166, hexagonal axes); the cell edges are 4.5757, 4.5757 and 18.9907 Å and the angles 90.00°, 90.00° and 120.00°. The inequivalent atoms are Pu at (0.0000, 0.0000, 0.2447), Sn at (0.0000, 0.0000, 0.0000) and Br at (0.0000, 0.0000, 0.5000).


How far above the most stable structure does each one sit? In meV/atom: model one 0; model two 110.